Record 1
The following is a DFT calculation (PBE-GGA) of Pr2GdIn3AgPt2 after structural relaxation.

Values from the calculation:
DFT total energy in eV/atom: -4.94
Crystal system: orthorhombic

```
data_Pr2GdIn3AgPt2
_space_group_name_H-M_alt 'A m m 2'
_space_group_IT_number 38
_cell_length_a 3.982
_cell_length_b 13.603
_cell_length_c 7.889
_cell_angle_alpha 90.00
_cell_angle_beta 90.00
_cell_angle_gamma 90.00
loop_
_space_group_symop_operation_xyz
'x,y,z'
'-x,-y,z'
'-x,y,z'
'x,-y,z'
'x,y+1/2,z+1/2'
'-x,-y+1/2,z+1/2'
'-x,y+1/2,z+1/2'
'x,-y+1/2,z+1/2'
loop_
_atom_site_label
_atom_site_fract_x
_atom_site_fract_y
_atom_site_fract_z
Pr1 0.000 0.206 0.000
Gd1 0.000 0.000 0.621
In1 0.500 0.000 0.944
In2 0.500 0.130 0.339
Ag1 0.000 0.000 0.209
Pt1 0.500 0.163 0.705
```

Record 2
The following is a DFT calculation (PBE-GGA) of PrGd2In3AgPt2 after structural relaxation.

Values from the calculation:
DFT total energy in eV/atom: -4.94
Crystal system: orthorhombic

```
data_PrGd2In3AgPt2
_space_group_name_H-M_alt 'A m m 2'
_space_group_IT_number 38
_cell_length_a 3.865
_cell_length_b 13.722
_cell_length_c 7.891
_cell_angle_alpha 90.00
_cell_angle_beta 90.00
_cell_angle_gamma 90.00
loop_
_space_group_symop_operation_xyz
'x,y,z'
'-x,-y,z'
'-x,y,z'
'x,-y,z'
'x,y+1/2,z+1/2'
'-x,-y+1/2,z+1/2'
'-x,y+1/2,z+1/2'
'x,-y+1/2,z+1/2'
loop_
_atom_site_label
_atom_site_fract_x
_atom_site_fract_y
_atom_site_fract_z
Pr1 0.000 0.000 0.000
Gd1 0.000 0.206 0.616
In1 0.500 0.000 0.674
In2 0.500 0.134 0.280
Ag1 0.000 0.000 0.413
Pt1 0.500 0.170 0.910
```

Record 3
The following is a DFT calculation (PBE-GGA) of Gd3In3Ag2Pt after structural relaxation.

Values from the calculation:
DFT total energy in eV/atom: -4.37
Crystal system: hexagonal

```
data_Gd3In3Ag2Pt
_space_group_name_H-M_alt 'P -6 2 m'
_space_group_IT_number 189
_space_group_name_Hall 'P -6 -2'
_cell_length_a 7.7908
_cell_length_b 7.7908
_cell_length_c 4.0104
_cell_angle_alpha 90.00
_cell_angle_beta 90.00
_cell_angle_gamma 120.00
loop_
_atom_site_label
_atom_site_fract_x
_atom_site_fract_y
_atom_site_fract_z
Gd1 0.0000 0.3990 0.0000
In1 0.0000 0.7449 0.5000
Ag1 0.3333 0.6667 0.5000
Pt1 0.0000 0.0000 0.0000
```

Record 4
The following is a DFT calculation (PBE-GGA) of Tb2GdIn3AgPt2 after structural relaxation.

Values from the calculation:
DFT total energy in eV/atom: -4.94
Crystal system: orthorhombic

```
data_Tb2GdIn3AgPt2
_space_group_name_H-M_alt 'A m m 2'
_space_group_IT_number 38
_cell_length_a 3.794
_cell_length_b 13.587
_cell_length_c 7.837
_cell_angle_alpha 90.00
_cell_angle_beta 90.00
_cell_angle_gamma 90.00
loop_
_space_group_symop_operation_xyz
'x,y,z'
'-x,-y,z'
'-x,y,z'
'x,-y,z'
'x,y+1/2,z+1/2'
'-x,-y+1/2,z+1/2'
'-x,y+1/2,z+1/2'
'x,-y+1/2,z+1/2'
loop_
_atom_site_label
_atom_site_fract_x
_atom_site_fract_y
_atom_site_fract_z
Tb1 0.000 0.205 0.000
Gd1 0.000 0.000 0.614
In1 0.500 0.000 0.936
In2 0.500 0.134 0.339
Ag1 0.000 0.000 0.204
Pt1 0.500 0.167 0.705
```

Record 5
The following is a DFT calculation (PBE-GGA) of GdTm2In3Ag2Pt after structural relaxation.

Values from the calculation:
DFT total energy in eV/atom: -4.31
Crystal system: orthorhombic

```
data_GdTm2In3Ag2Pt
_space_group_name_H-M_alt 'A m m 2'
_space_group_IT_number 38
_cell_length_a 3.961
_cell_length_b 13.382
_cell_length_c 7.702
_cell_angle_alpha 90.00
_cell_angle_beta 90.00
_cell_angle_gamma 90.00
loop_
_space_group_symop_operation_xyz
'x,y,z'
'-x,-y,z'
'-x,y,z'
'x,-y,z'
'x,y+1/2,z+1/2'
'-x,-y+1/2,z+1/2'
'-x,y+1/2,z+1/2'
'x,-y+1/2,z+1/2'
loop_
_atom_site_label
_atom_site_fract_x
_atom_site_fract_y
_atom_site_fract_z
Gd1 0.000 0.000 0.000
Tm1 0.000 0.197 0.405
In1 0.500 0.000 0.342
In2 0.500 0.129 0.731
Ag1 0.500 0.169 0.103
Pt1 0.000 0.000 0.598
```

Record 6
The following is a DFT calculation (PBE-GGA) of Gd2TmIn3AgPt2 after structural relaxation.

Values from the calculation:
DFT total energy in eV/atom: -4.92
Crystal system: orthorhombic

```
data_Gd2TmIn3AgPt2
_space_group_name_H-M_alt 'A m m 2'
_space_group_IT_number 38
_cell_length_a 3.784
_cell_length_b 13.541
_cell_length_c 7.845
_cell_angle_alpha 90.00
_cell_angle_beta 90.00
_cell_angle_gamma 90.00
loop_
_space_group_symop_operation_xyz
'x,y,z'
'-x,-y,z'
'-x,y,z'
'x,-y,z'
'x,y+1/2,z+1/2'
'-x,-y+1/2,z+1/2'
'-x,y+1/2,z+1/2'
'x,-y+1/2,z+1/2'
loop_
_atom_site_label
_atom_site_fract_x
_atom_site_fract_y
_atom_site_fract_z
Gd1 0.000 0.205 0.000
Tm1 0.000 0.000 0.615
In1 0.500 0.000 0.935
In2 0.500 0.133 0.340
Ag1 0.000 0.000 0.206
Pt1 0.500 0.164 0.704
```

Record 7
The following is a DFT calculation (PBE-GGA) of GdY2In3AgPt2 after structural relaxation.

Values from the calculation:
DFT total energy in eV/atom: -5.35
Crystal system: orthorhombic

```
data_GdY2In3AgPt2
_space_group_name_H-M_alt 'A m m 2'
_space_group_IT_number 38
_cell_length_a 3.783
_cell_length_b 13.580
_cell_length_c 7.844
_cell_angle_alpha 90.00
_cell_angle_beta 90.00
_cell_angle_gamma 90.00
loop_
_space_group_symop_operation_xyz
'x,y,z'
'-x,-y,z'
'-x,y,z'
'x,-y,z'
'x,y+1/2,z+1/2'
'-x,-y+1/2,z+1/2'
'-x,y+1/2,z+1/2'
'x,-y+1/2,z+1/2'
loop_
_atom_site_label
_atom_site_fract_x
_atom_site_fract_y
_atom_site_fract_z
Gd1 0.000 0.000 0.000
Y1 0.000 0.204 0.386
In1 0.500 0.000 0.323
In2 0.500 0.135 0.725
Ag1 0.000 0.000 0.591
Pt1 0.500 0.167 0.091
```

Record 8
The following is a DFT calculation (PBE-GGA) of SmGd2In3Ag3 after structural relaxation.

Values from the calculation:
DFT total energy in eV/atom: -3.85
Crystal system: orthorhombic

```
data_SmGd2In3Ag3
_space_group_name_H-M_alt 'A m m 2'
_space_group_IT_number 38
_cell_length_a 4.025
_cell_length_b 13.602
_cell_length_c 7.843
_cell_angle_alpha 90.00
_cell_angle_beta 90.00
_cell_angle_gamma 90.00
loop_
_space_group_symop_operation_xyz
'x,y,z'
'-x,-y,z'
'-x,y,z'
'x,-y,z'
'x,y+1/2,z+1/2'
'-x,-y+1/2,z+1/2'
'-x,y+1/2,z+1/2'
'x,-y+1/2,z+1/2'
loop_
_atom_site_label
_atom_site_fract_x
_atom_site_fract_y
_atom_site_fract_z
Sm1 0.000 0.000 0.000
Gd1 0.000 0.204 0.611
In1 0.500 0.000 0.668
In2 0.500 0.130 0.278
Ag1 0.000 0.000 0.409
Ag2 0.500 0.168 0.907
```